First-principles (PBE) data for HoPaPb2 after structural relaxation, as listed in Alexandria.

Geometry as CIF:
```
data_HoPaPb2
_space_group_name_H-M_alt 'F m -3 m'
_space_group_IT_number 225
_space_group_name_Hall '-F 4 2 3'
_cell_length_a 7.653
_cell_length_b 7.653
_cell_length_c 7.653
_cell_angle_alpha 90.00
_cell_angle_beta 90.00
_cell_angle_gamma 90.00
loop_
_atom_site_label
_atom_site_type_symbol
_atom_site_fract_x
_atom_site_fract_y
_atom_site_fract_z
_atom_site_occupancy
Ho1 Ho 0.000 0.000 0.000 1
Pa1 Pa 0.000 0.000 0.500 1
Pb1 Pb 0.250 0.250 0.250 1
```

DFT formation energy in eV/atom: -0.044
E_tot in eV/atom: -5.416
Energy relative to the lowest polymorph listed for this composition in meV/atom: 84